No. 1
Below is crystalline B2PdRu at its relaxed geometry, with properties calculated at the PBE-GGA level.

Values from the calculation:
energy above the lowest structure with this stoichiometry: 25 meV/atom
symmetry: I-42d
ΔE_f: 0.307 eV per atom

a b c (Å): 4.7253 4.7253 5.7872
angles (deg): 65.90 65.90 90.00
Sites, in units of the cell vectors:
Ru1 0.5000 0.5000 0.0000
Pd1 0.0000 0.0000 0.0000
Ru2 0.2500 0.7500 0.5000
B1 0.8750 0.8583 0.7500
B2 0.6083 0.1250 0.2500
B3 0.1417 0.6250 0.2500
Pd2 0.7500 0.2500 0.5000
B4 0.3750 0.3917 0.7500



No. 2
Below is crystalline B2Pd2Ru at its relaxed geometry, with properties calculated at the PBE-GGA level.

Values from the calculation:
symmetry: P4/mbm
ΔE_f: 0.214 eV per atom

a b c (Å): 6.1697 6.1697 2.9576
angles (deg): 90.00 90.00 90.00
Sites, in units of the cell vectors:
Pd1 0.1557 0.6557 0.5000
B1 0.1509 0.3491 0.0000
B2 0.8491 0.6509 0.0000
Pd2 0.8443 0.3443 0.5000
Ru1 0.0000 0.0000 0.0000
Ru2 0.5000 0.5000 0.0000
B3 0.6509 0.1509 0.0000
Pd3 0.6557 0.8443 0.5000
B4 0.3491 0.8491 0.0000
Pd4 0.3443 0.1557 0.5000



No. 3
Below is crystalline B2PdRu at its relaxed geometry, with properties calculated at the PBE-GGA level.

Values from the calculation:
energy above the lowest structure with this stoichiometry: 0 meV/atom
symmetry: Fm-3m
ΔE_f: 0.282 eV per atom

a b c (Å): 3.8623 3.8623 3.8623
angles (deg): 60.00 60.00 60.00
Sites, in units of the cell vectors:
Pd1 0.5000 0.5000 0.5000
B1 0.2500 0.2500 0.2500
Ru1 0.0000 0.0000 0.0000
B2 0.7500 0.7500 0.7500



No. 4
Below is crystalline ScBPd2Ru at its relaxed geometry, with properties calculated at the PBE-GGA level.

Values from the calculation:
symmetry: P4/mmm
ΔE_f: -0.575 eV per atom

a b c (Å): 4.1874 4.1874 4.1491
angles (deg): 90.00 90.00 90.00
Sites, in units of the cell vectors:
Ru1 0.0000 0.0000 0.5000
Pd1 0.5000 0.0000 0.0000
Pd2 0.0000 0.5000 0.0000
Sc1 0.5000 0.5000 0.5000
B1 0.0000 0.0000 0.0000



No. 5
Below is crystalline YBPd2Ru at its relaxed geometry, with properties calculated at the PBE-GGA level.

Values from the calculation:
symmetry: P4/mmm
ΔE_f: -0.614 eV per atom

a b c (Å): 4.2864 4.2864 4.2087
angles (deg): 90.00 90.00 90.00
Sites, in units of the cell vectors:
Y1 0.5000 0.5000 0.5000
Pd1 0.5000 0.0000 0.0000
Ru1 0.0000 0.0000 0.5000
Pd2 0.0000 0.5000 0.0000
B1 0.0000 0.0000 0.0000



No. 6
Below is crystalline B2Pd8S at its relaxed geometry, with properties calculated at the PBE-GGA level.

Values from the calculation:
symmetry: C2/m
formation energy from raw total energies: -0.1313 eV per atom

a b c (Å): 4.1786 5.2807 7.5294
angles (deg): 107.41 106.11 90.00
Sites, in units of the cell vectors:
Pd1 0.3167 0.0034 0.6335
S1 0.5000 0.0000 0.0000
Pd2 0.5927 0.4629 0.1853
Pd3 0.8021 0.6495 0.6043
B1 0.8221 0.2821 0.6442
Pd4 0.9532 0.2064 0.9064
Pd5 0.6832 0.9966 0.3665
Pd6 0.0468 0.7936 0.0936
B2 0.1779 0.7179 0.3558
Pd7 0.1979 0.3505 0.3957
Pd8 0.4073 0.5371 0.8147



No. 7
Below is crystalline BPd2S at its relaxed geometry, with properties calculated at the PBE-GGA level.

Values from the calculation:
energy above the lowest structure with this stoichiometry: 392 meV/atom
symmetry: Fm-3m
formation energy from raw total energies: 0.5241 eV per atom

a b c (Å): 4.1955 4.1955 4.1955
angles (deg): 60.00 60.00 60.00
Sites, in units of the cell vectors:
Pd1 0.2500 0.2500 0.2500
B1 0.0000 0.0000 0.0000
S1 0.5000 0.5000 0.5000
Pd2 0.7500 0.7500 0.7500



No. 8
Below is crystalline BPd3S at its relaxed geometry, with properties calculated at the PBE-GGA level.

Values from the calculation:
energy above the lowest structure with this stoichiometry: 0 meV/atom
symmetry: Cmc2_1
formation energy from raw total energies: -0.0394 eV per atom

a b c (Å): 5.6557 8.7748 3.9878
angles (deg): 90.00 135.16 90.00
Sites, in units of the cell vectors:
Pd1 0.7079 0.7073 0.4157
B1 0.2143 0.8339 0.4287
Pd2 0.7263 0.9426 0.9441
B2 0.7857 0.3339 0.5713
Pd3 0.2737 0.4426 0.0559
S1 0.2878 0.6278 0.5756
Pd4 0.2178 0.9426 0.9441
S2 0.7122 0.1278 0.4244
Pd5 0.7822 0.4426 0.0559
Pd6 0.2921 0.2073 0.5843



No. 9
Below is crystalline BPd3S at its relaxed geometry, with properties calculated at the PBE-GGA level.

Values from the calculation:
energy above the lowest structure with this stoichiometry: 159 meV/atom
symmetry: Pm-3m
formation energy from raw total energies: 0.1194 eV per atom

a b c (Å): 4.1930 4.1930 4.1930
angles (deg): 90.00 90.00 90.00
Sites, in units of the cell vectors:
B1 0.0000 0.0000 0.0000
Pd1 0.0000 0.5000 0.0000
Pd2 0.0000 0.0000 0.5000
S1 0.5000 0.5000 0.5000
Pd3 0.5000 0.0000 0.0000



No. 10
Below is crystalline BPd2S at its relaxed geometry, with properties calculated at the PBE-GGA level.

Values from the calculation:
energy above the lowest structure with this stoichiometry: 0 meV/atom
symmetry: I-42d
formation energy from raw total energies: 0.1322 eV per atom

a b c (Å): 4.8554 4.8554 6.5631
angles (deg): 68.29 68.29 90.00
Sites, in units of the cell vectors:
Pd1 0.1862 0.6250 0.2500
B1 0.2500 0.7500 0.5000
Pd2 0.8750 0.8138 0.7500
Pd3 0.5638 0.1250 0.2500
Pd4 0.3750 0.4362 0.7500
S1 0.0000 0.0000 0.0000
S2 0.7500 0.2500 0.5000
B2 0.5000 0.5000 0.0000



No. 11
Below is crystalline BPd4S at its relaxed geometry, with properties calculated at the PBE-GGA level.

Values from the calculation:
symmetry: I4_1md
formation energy from raw total energies: -0.1024 eV per atom

a b c (Å): 6.2729 6.2729 6.2729
angles (deg): 108.33 108.33 111.78
Sites, in units of the cell vectors:
B1 0.7537 0.7537 0.0000
Pd1 0.1654 0.9689 0.1966
Pd2 0.3488 0.5344 0.8143
Pd3 0.7202 0.5345 0.1857
S1 0.2396 0.2396 0.0000
Pd4 0.2844 0.9702 0.6857
Pd5 0.7189 0.4154 0.6966
B2 0.5037 0.0037 0.5000
Pd6 0.7723 0.9689 0.8034
S2 0.9896 0.4896 0.5000
Pd7 0.7189 0.0223 0.3034
Pd8 0.2844 0.5988 0.3143



No. 12
Below is crystalline Sr2B2PdS6 at its relaxed geometry, with properties calculated at the PBE-GGA level.

Values from the calculation:
symmetry: R-3m
formation energy from raw total energies: -0.8839 eV per atom

a b c (Å): 6.3473 6.3473 7.5766
angles (deg): 65.24 65.24 60.00
Sites, in units of the cell vectors:
S1 0.7459 0.2508 0.2575
B1 0.5874 0.5874 0.2379
S2 0.2541 0.7492 0.7425
S3 0.2508 0.7459 0.2575
Pd1 0.0000 0.0000 0.0000
B2 0.4126 0.4126 0.7621
S4 0.2541 0.2541 0.7425
S5 0.7492 0.2541 0.7425
S6 0.7459 0.7459 0.2575
Sr1 0.2231 0.2231 0.3308
Sr2 0.7769 0.7769 0.6692



no.,electronic total energy (eV/atom),magnetization (μB per cell)
1,-6.649,0.00
2,-6.390,0.00
3,-6.674,0.00
4,-7.109,0.00
5,-7.175,0.00
6,-5.497,0.00
7,-4.774,0.00
8,-5.316,0.00
9,-5.157,0.00
10,-5.165,0.00
11,-5.365,0.00
12,-5.127,0.00